A plane-wave DFT calculation with GGA-PBE was carried out for a relaxed Mg3TeIr crystal.

abc: 4.997 4.997 4.997
angles: 90.00 90.00 90.00
Element x y z (fractional)
1 Mg 0.000 0.000 0.500
2 Mg 0.000 0.500 0.000
3 Mg 0.500 0.000 0.000
4 Te 0.500 0.500 0.500
5 Ir 0.000 0.000 0.000

The raw formation energy is -0.0835 eV per atom. The distance to the lowest polymorph of the same formula comes out at 0.000 eV per atom. Its symmetry is Pm-3m. The volume is 125 Å³/cell.